A relaxed structure of MoSe3F, computed with GGA+U.

D(E_F) = 5.5 states/eV per cell
M_tot = 0.312 Bohr magnetons per cell
energy relative to the lowest polymorph listed for this composition = 740 meV/atom

Geometry as CIF:
```
data_MoSe3F
_chemical_formula_sum 'Mo1 Se3 F1'
_cell_length_a 4.560
_cell_length_b 4.560
_cell_length_c 4.560
_cell_angle_alpha 90.00
_cell_angle_beta 90.00
_cell_angle_gamma 90.00
_symmetry_space_group_name_H-M 'P m -3 m'
_symmetry_Int_Tables_number 221
_symmetry_space_group_name_Hall '-P 4 2 3'
loop_
_atom_site_label
_atom_site_type_symbol
_atom_site_fract_x
_atom_site_fract_y
_atom_site_fract_z
Mo1 Mo 0.000 0.000 0.000
Se1 Se 0.000 0.500 0.500
F1 F 0.500 0.500 0.500
```